DFT (GGA-PBEsol) results for crystalline Sr2BeRe at its relaxed geometry.

Lattice parameters (Å, degrees): 4.050 4.578 11.119 90.00 90.00 90.00
Space group Amm2 (No. 38)
Symmetry-distinct sites (fractional):
Sr  0.000  0.000  0.000 [2 per cell]
Sr  0.500  0.000  0.282 [2 per cell]
Be  0.000  0.000  0.684 [2 per cell]
Re  0.500  0.000  0.596 [2 per cell]

**Raw total energy**: -0.3355 Ry per atom
**Density of states at the Fermi level**: 1.17 states/eV/atom


DFT (GGA-PBEsol) results for crystalline InPb2 at its relaxed geometry.

Lattice parameters (Å, degrees): 9.3734 9.3734 3.3407 90.00 90.00 120.00
Space group P-62m (No. 189)
Symmetry-distinct sites (fractional):
In  0.0000  0.0000  0.0000 [1 per cell]
In  0.3333  0.6667  0.5000 [2 per cell]
Pb  0.0000  0.3646  0.0000 [3 per cell]
Pb  0.0000  0.6956  0.5000 [3 per cell]

**Raw total energy**: -0.2670 Ry per atom
**Density of states at the Fermi level**: 0.49 states/eV/atom